Entry 1:
First-principles (PBE) data for crystalline Nd5ScGe4 at its relaxed geometry, as listed in Alexandria via LeMat-Bulk.

The structure in POSCAR format:
```
Nd5ScGe4
1.0
-4.2264 0.4356 2.6071
0.8272 -6.4620 2.4206
5.4180 9.0101 2.5121
Ge Nd Sc
4 5 1
Cartesian
2.8953 0.1932 4.6613
0.2537 -1.4491 0.6534
1.7651 4.4328 6.8865
-0.8765 2.7904 2.8786
0.2514 5.2907 4.2894
1.7674 -2.3071 3.2505
1.3552 0.9499 2.0383
-1.6996 -3.0132 2.5139
0.6635 2.0337 5.5016
-2.1132 0.2178 1.3036
```

DOS at the Fermi energy ... 5.8 states/eV per cell
Calculated formation energy ... -572 kJ/mol of formula units

Entry 2:
First-principles (PBE) data for crystalline ZrHgGePd2 at its relaxed geometry, as listed in Alexandria via LeMat-Bulk.

The structure in POSCAR format:
```
ZrHgGePd2
1.0
-0.7789 3.4815 2.9629
-1.1476 -3.2885 3.5624
4.4450 -0.1255 1.3160
Ge Hg Zr Pd
1 1 1 2
Cartesian
0.0000 0.0000 0.0000
-0.5738 -1.6443 1.7812
1.2593 0.0337 3.9206
-0.3894 1.7407 1.4814
2.2225 -0.0628 0.6580
```

DOS at the Fermi energy ... 4.7 states/eV per cell
Calculated formation energy ... 118 kJ/mol of formula units

Entry 3:
First-principles (PBE) data for crystalline BeCoSe2 at its relaxed geometry, as listed in Alexandria via LeMat-Bulk.

The structure in POSCAR format:
```
BeCoSe2
1.0
3.5566 0.0000 0.0000
0.0000 3.5553 -0.0267
0.0000 0.0596 6.1606
Co Be Se
1 1 2
Cartesian
1.7783 3.1493 3.8265
0.0000 1.3698 3.8416
1.7783 1.3605 2.3400
0.0000 3.1579 5.3265
```

DOS at the Fermi energy ... 2.9 states/eV per cell
E_tot ... -4.754 eV per atom